Record 1
DFT (PBE) results for KTaTe4 after structural relaxation.

Cell lengths 9.548, 15.033, 6.205 Å; angles 90.00, 109.37, 90.00 degrees
Space group C2/c (No. 15)
Inequivalent atoms, fractional coordinates:
K  0.000  0.132  0.250
Ta  0.000  0.500  0.250
Te  0.095  0.350  0.548
Te  0.248  0.433  0.128

Properties
Energy ... -4.6432 eV/atom
Size of the total moment ... 0.000 μB/atom
Polymorph energy (0 for the lowest one) ... 0 meV/atom

Record 2
DFT (PBE) results for KTa2Te2 after structural relaxation.

Cell lengths 5.426, 5.426, 9.132 Å; angles 90.00, 90.00, 90.00 degrees
Space group I4/mmm (No. 139)
Inequivalent atoms, fractional coordinates:
K  0.000  0.000  0.000
Ta  0.000  0.000  0.368
Te  0.000  0.500  0.250

Properties
Energy ... -6.0753 eV/atom
Size of the total moment ... 0.000 μB/atom

Record 3
DFT (PBE) results for K2TaTe after structural relaxation.

Cell lengths 5.613, 5.613, 7.994 Å; angles 90.00, 90.00, 90.00 degrees
Space group I-4m2 (No. 119)
Inequivalent atoms, fractional coordinates:
K  0.000  0.000  0.000
K  0.000  0.500  0.250
Ta  0.000  0.500  0.750
Te  0.000  0.000  0.500

Properties
Energy ... -3.4560 eV/atom
Size of the total moment ... 1.215 μB/atom

Record 4
DFT (PBE) results for K2TaTe after structural relaxation.

Cell lengths 4.527, 4.527, 11.503 Å; angles 90.00, 90.00, 90.00 degrees
Space group I4/mmm (No. 139)
Inequivalent atoms, fractional coordinates:
K  0.000  0.500  0.250
Ta  0.000  0.000  0.000
Te  0.000  0.000  0.500

Properties
Energy ... -3.5553 eV/atom
Size of the total moment ... 0.688 μB/atom